First-principles (GGA-PBE) data for a relaxed structure of ZnMo2Se, as listed in Alexandria via LeMat-Bulk.

Lattice parameters (Å, degrees): 2.8384 4.3500 5.2922 90.00 91.83 90.00
Last column: nearest neighbours and their distance in Å.
Positions (direct):
Zn 0.0000 0.0000 0.0000  4 Mo 2.72, 2 Zn 2.84, 4 Se 2.96-3.04
Mo 0.3621 0.5000 0.7669  3 Mo 2.56-2.84, 2 Se 2.63, 2 Zn 2.72
Mo 0.6379 0.5000 0.2331  3 Mo 2.56-2.84, 2 Se 2.63, 2 Zn 2.72
Se 0.5000 0.0000 0.5000  4 Mo 2.63, 2 Se 2.84

Summary:
- ΔE to the lowest computed polymorph: 282 meV per atom
- ΔE_f (raw): 0.383 eV per atom

First-principles (GGA-PBE) data for a relaxed structure of Nd5Bi, as listed in Alexandria via LeMat-Bulk.

Lattice parameters (Å, degrees): 8.2637 8.2637 5.0241 90.00 90.00 144.74
Last column: nearest neighbours and their distance in Å.
Positions (direct):
Nd 0.0000 0.0000 0.0000  4 Bi 3.55, 8 Nd 3.57-3.60
Nd 0.1611 0.8389 0.5000  10 Nd 3.55-3.76, 2 Bi 3.56
Nd 0.3361 0.6639 0.0000  10 Nd 3.55-3.73, 2 Bi 3.60
Nd 0.6639 0.3361 0.0000  10 Nd 3.55-3.73, 2 Bi 3.60
Nd 0.8389 0.1611 0.5000  10 Nd 3.55-3.76, 2 Bi 3.56
Bi 0.5000 0.5000 0.5000  12 Nd 3.55-3.60

Summary:
- ΔE_f: -148 kJ/mol of formula units

First-principles (GGA-PBE) data for a relaxed structure of KInPb, as listed in Alexandria via LeMat-Bulk.

Lattice parameters (Å, degrees): 7.0081 7.0081 7.0849 104.88 104.88 38.16
Last column: nearest neighbours and their distance in Å.
Positions (direct):
K 0.0000 0.0000 0.0000  2 K 3.54, 4 In 3.77, 6 Pb 3.80-3.94
K 0.0000 0.0000 0.5000  2 K 3.54, 4 Pb 3.77, 6 In 3.77-3.96
In 0.3106 0.3106 0.6532  2 In 3.26, 4 Pb 3.27-3.58
In 0.6894 0.6894 0.3468  2 In 3.26, 4 Pb 3.27-3.58
Pb 0.3093 0.3093 0.1577  4 In 3.27-3.58, 2 Pb 3.29
Pb 0.6907 0.6907 0.8423  4 In 3.27-3.58, 2 Pb 3.29

Summary:
- ΔE_f: -26 kJ/mol of formula units

First-principles (GGA-PBE) data for a relaxed structure of HoErTh2Sc5, as listed in Alexandria via LeMat-Bulk.

Lattice parameters (Å, degrees): 9.3452 9.3452 9.3452 126.44 126.44 79.17
Last column: nearest neighbours and their distance in Å.
Positions (direct):
Ho 0.2500 0.2500 0.0000  10 Sc 3.41-3.60
Ho 0.7500 0.7500 0.0000  10 Sc 3.41-3.60
Er 0.2500 0.7500 0.5000  4 Sc 2.96
Er 0.7500 0.2500 0.5000  4 Sc 2.96
Th 0.1238 0.6238 0.7476  2 Sc 2.83, 1 Th 2.95
Th 0.3762 0.1238 0.5000  2 Sc 2.83, 1 Th 2.95
Th 0.6238 0.8762 0.5000  2 Sc 2.83, 1 Th 2.95
Th 0.8762 0.3762 0.2524  2 Sc 2.83, 1 Th 2.95
Sc 0.0000 0.0000 0.0000  4 Th 3.34, 2 Ho 3.60, 8 Sc 3.63
Sc 0.0697 0.1501 0.5000  1 Th 2.83, 1 Er 2.96
Sc 0.1501 0.6501 0.0804  1 Th 2.83, 1 Er 2.96
Sc 0.3499 0.4303 0.5000  1 Th 2.83, 1 Er 2.96
Sc 0.4303 0.9303 0.0804  1 Th 2.83, 1 Er 2.96
Sc 0.5000 0.5000 0.0000  4 Th 3.34, 2 Ho 3.60, 8 Sc 3.63
Sc 0.5697 0.0697 0.9196  1 Th 2.83, 1 Er 2.96
Sc 0.6501 0.5697 0.5000  1 Th 2.83, 1 Er 2.96
Sc 0.8499 0.3499 0.9196  1 Th 2.83, 1 Er 2.96
Sc 0.9303 0.8499 0.5000  1 Th 2.83, 1 Er 2.96

Summary:
- ΔE_f: 306 kJ/mol of formula units

First-principles (GGA-PBE) data for a relaxed structure of CePaNiRh, as listed in Alexandria via LeMat-Bulk.

Lattice parameters (Å, degrees): 4.1421 5.8158 5.8158 36.97 90.00 90.00
Last column: nearest neighbours and their distance in Å.
Positions (direct):
Ce 0.0000 0.0000 0.0000  4 Ni 2.84, 1 Rh 2.92
Pa 0.5000 0.2710 0.2710  4 Rh 2.80, 2 Ni 3.00
Ni 0.5000 0.5566 0.5566  4 Ce 2.84, 2 Rh 2.86, 3 Pa 3.00-3.15
Rh 0.0000 0.7355 0.7355  4 Pa 2.80, 2 Ni 2.86, 1 Ce 2.92

Summary:
- ΔE to the lowest computed polymorph: 0 meV per atom
- ΔE_f: -198 kJ/mol of formula units

First-principles (GGA-PBE) data for a relaxed structure of RhC4NCl4O2, as listed in Alexandria via LeMat-Bulk.

Lattice parameters (Å, degrees): 6.2548 9.1229 10.3561 90.00 90.00 90.00
Last column: nearest neighbours and their distance in Å.
Positions (direct):
Rh 0.2500 0.2500 0.0469  2 O 1.75
Rh 0.7500 0.7500 0.9531  2 O 1.75
C 0.0699 0.7500 0.3935  2 C 1.46, 1 N 1.60
C 0.2500 0.6509 0.3701  2 C 1.46
C 0.2500 0.8491 0.3701  2 C 1.46
C 0.4301 0.7500 0.3935  2 C 1.46, 1 N 1.60
C 0.5699 0.2500 0.6065  2 C 1.46, 1 N 1.60
C 0.7500 0.1509 0.6299  2 C 1.46
C 0.7500 0.3491 0.6299  2 C 1.46
C 0.9301 0.2500 0.6065  2 C 1.46, 1 N 1.60
N 0.2500 0.7500 0.5027  4 C 1.60-1.64
N 0.7500 0.2500 0.4973  4 C 1.60-1.64
Cl 0.2500 0.2500 0.2633  1 Rh 2.24
Cl 0.2500 0.2500 0.6005  2 C 2.00
Cl 0.2500 0.5085 0.0570  1 Rh 2.36
Cl 0.2500 0.9915 0.0570  1 Rh 2.36
Cl 0.7500 0.0085 0.9430  1 Rh 2.36
Cl 0.7500 0.4915 0.9430  1 Rh 2.36
Cl 0.7500 0.7500 0.3995  2 C 2.00
Cl 0.7500 0.7500 0.7367  1 Rh 2.24
O 0.0010 0.7500 0.0274  1 Rh 1.75
O 0.4990 0.7500 0.0274  1 Rh 1.75
O 0.5010 0.2500 0.9726  1 Rh 1.75
O 0.9990 0.2500 0.9726  1 Rh 1.75

Summary:
- ΔE_f (raw): 0.867 eV per atom

First-principles (GGA-PBE) data for a relaxed structure of LiB4Ru, as listed in Alexandria via LeMat-Bulk.

Lattice parameters (Å, degrees): 3.9684 3.9684 3.9684 60.00 60.00 60.00
Last column: nearest neighbours and their distance in Å.
Positions (direct):
Li 0.0000 0.0000 0.0000  12 B 2.32, 4 Ru 2.43
B 0.3702 0.3702 0.3702  6 B 1.91-2.06
B 0.3702 0.3702 0.8893  6 B 1.91-2.06
B 0.3702 0.8893 0.3702  6 B 1.91-2.06
B 0.8893 0.3702 0.3702  6 B 1.91-2.06
Ru 0.7500 0.7500 0.7500  12 B 2.34, 4 Li 2.43

Summary:
- ΔE to the lowest computed polymorph: 0 meV per atom
- ΔE_f: 40 kJ/mol of formula units

First-principles (GGA-PBE) data for a relaxed structure of MgNb2Bi, as listed in Alexandria via LeMat-Bulk.

Lattice parameters (Å, degrees): 11.0086 11.0086 11.0086 158.69 158.69 30.32
Last column: nearest neighbours and their distance in Å.
Positions (direct):
Mg 0.0000 0.0000 0.0000  4 Bi 2.88, 4 Nb 3.02
Mg 0.7500 0.2500 0.5000  4 Bi 2.88, 4 Nb 3.02
Nb 0.1215 0.6250 0.9965  4 Nb 2.86-2.90, 2 Mg 3.02, 2 Bi 3.03
Nb 0.3750 0.3715 0.4965  4 Nb 2.86-2.90, 2 Mg 3.02, 2 Bi 3.03
Nb 0.6285 0.1250 0.0035  4 Nb 2.86-2.90, 2 Mg 3.02, 2 Bi 3.03
Nb 0.8750 0.8785 0.5035  4 Nb 2.86-2.90, 2 Mg 3.02, 2 Bi 3.03
Bi 0.2500 0.7500 0.5000  4 Mg 2.88, 4 Nb 3.03
Bi 0.5000 0.5000 0.0000  4 Mg 2.88, 4 Nb 3.03

Summary:
- ΔE to the lowest computed polymorph: 25 meV per atom
- ΔE_f: 204 kJ/mol of formula units